DFT (PBE) results for a geometry-optimized FeHgAu2 structure.

SG: No. 71
Magnetization, μB/f.u.: 3.05
Energy of formation, eV/atom: 0.2328

a = 5.810 Å, b = 5.810 Å, c = 5.810 Å
α = 150.97°, β = 129.92°, γ = 58.93°
Last column: magnetic moment on the atom in μB.
Fractional coordinates of all 4 atoms:
Au (0.973, 0.973, 0.000)  0.03
Au (0.527, 0.527, 0.000)  0.03
Hg (0.250, 0.750, 0.500)  -0.02
Fe (0.750, 0.250, 0.500)  2.96


DFT (PBE) results for a geometry-optimized SrLa2HfPb structure.

SG: No. 123
Magnetization, μB/f.u.: 0.00
Energy of formation, eV/atom: 0.2685

a = 5.772 Å, b = 5.772 Å, c = 5.811 Å
α = 90.00°, β = 90.00°, γ = 90.00°
Fractional coordinates of all 5 atoms:
La (0.000, 0.500, 0.000)
La (0.500, 0.000, 0.000)
Pb (0.000, 0.000, 0.500)
Sr (0.500, 0.500, 0.500)
Hf (0.000, 0.000, 0.000)


DFT (PBE) results for a geometry-optimized Li3B4C4 structure.

Energy above the most stable polymorph in this dataset, eV/f.u.: 0.086
SG: No. 35
Magnetization, μB/f.u.: 0.00
Energy of formation, eV/atom: -0.2333

a = 7.698 Å, b = 7.698 Å, c = 4.717 Å
α = 90.00°, β = 90.00°, γ = 138.57°
Fractional coordinates of all 22 atoms:
C (0.121, 0.379, 0.168)
C (0.375, 0.625, 0.669)
C (0.875, 0.625, 0.829)
C (0.626, 0.376, 0.332)
C (0.875, 0.125, 0.669)
C (0.629, 0.871, 0.168)
C (0.375, 0.125, 0.836)
C (0.124, 0.874, 0.332)
B (0.621, 0.371, 0.663)
B (0.129, 0.879, 0.663)
B (0.875, 0.125, 0.338)
B (0.626, 0.874, 0.834)
B (0.124, 0.376, 0.834)
B (0.875, 0.625, 0.164)
B (0.375, 0.125, 0.168)
B (0.375, 0.625, 0.338)
Li (0.751, 0.749, 0.499)
Li (0.259, 0.759, 0.000)
Li (0.741, 0.241, 0.000)
Li (0.009, 0.009, 0.000)
Li (0.999, 0.501, 0.499)
Li (0.491, 0.491, 0.000)


DFT (PBE) results for a geometry-optimized LiNdErMg structure.

SG: No. 216
Magnetization, μB/f.u.: 0.00
Energy of formation, eV/atom: 0.0331

a = 5.372 Å, b = 5.372 Å, c = 5.372 Å
α = 60.00°, β = 60.00°, γ = 60.00°
Fractional coordinates of all 4 atoms:
Er (0.500, 0.500, 0.500)
Mg (0.750, 0.750, 0.750)
Nd (0.000, 0.000, 0.000)
Li (0.250, 0.250, 0.250)


DFT (PBE) results for a geometry-optimized Ba2LiSnCl structure.

Raw total energy, eV per cell: -16.2
SG: No. 123
Magnetization, μB/f.u.: 0.00

a = 6.141 Å, b = 6.141 Å, c = 4.656 Å
α = 90.00°, β = 90.00°, γ = 90.00°
Fractional coordinates of all 5 atoms:
Sn (0.500, 0.500, 0.500)
Li (0.000, 0.000, 0.500)
Cl (0.000, 0.000, 0.000)
Ba (0.000, 0.500, 0.000)
Ba (0.500, 0.000, 0.000)


DFT (PBE) results for a geometry-optimized AgPd2O4 structure.

Energy above the most stable polymorph in this dataset, eV/f.u.: 0.314
SG: No. 12
Magnetization, μB/f.u.: 0.00

a = 3.147 Å, b = 5.471 Å, c = 6.386 Å
α = 88.93°, β = 104.27°, γ = 90.00°
Fractional coordinates of all 7 atoms:
Pd (0.251, 0.256, 0.502)
Pd (0.749, 0.744, 0.498)
O (0.332, 0.582, 0.665)
O (0.168, 0.923, 0.337)
O (0.668, 0.418, 0.335)
O (0.832, 0.077, 0.663)
Ag (0.000, 0.000, 0.000)


DFT (PBE) results for a geometry-optimized YGaPd5 structure.

SG: No. 123
Magnetization, μB/f.u.: 0.00
Energy of formation, eV/atom: -0.7040

a = 4.131 Å, b = 4.131 Å, c = 7.102 Å
α = 90.00°, β = 90.00°, γ = 90.00°
Fractional coordinates of all 7 atoms:
Pd (0.500, 0.000, 0.208)
Pd (0.000, 0.500, 0.792)
Pd (0.500, 0.000, 0.792)
Pd (0.500, 0.500, 0.500)
Pd (0.000, 0.500, 0.208)
Y (0.000, 0.000, 0.500)
Ga (0.500, 0.500, 0.000)


DFT (PBE) results for a geometry-optimized Nd3ScS6 structure.

Raw total energy, eV per cell: -131.0
SG: No. 148
Magnetization, μB/f.u.: 0.00

a = 8.119 Å, b = 8.119 Å, c = 8.119 Å
α = 91.71°, β = 91.71°, γ = 91.71°
Fractional coordinates of all 20 atoms:
S (0.583, 0.804, 0.456)
S (0.456, 0.583, 0.804)
S (0.923, 0.698, 0.079)
S (0.079, 0.923, 0.698)
S (0.921, 0.077, 0.302)
S (0.698, 0.079, 0.923)
S (0.077, 0.302, 0.921)
S (0.302, 0.921, 0.077)
S (0.804, 0.456, 0.583)
S (0.196, 0.544, 0.417)
S (0.417, 0.196, 0.544)
S (0.544, 0.417, 0.196)
Nd (0.922, 0.749, 0.429)
Nd (0.078, 0.251, 0.571)
Nd (0.749, 0.429, 0.922)
Nd (0.571, 0.078, 0.251)
Nd (0.429, 0.922, 0.749)
Nd (0.251, 0.571, 0.078)
Sc (0.500, 0.500, 0.500)
Sc (0.000, 0.000, 0.000)


DFT (PBE) results for a geometry-optimized CaFeNi structure.

Energy above the most stable polymorph in this dataset, eV/f.u.: 3.137
SG: No. 216
Magnetization, μB/f.u.: 3.14
Energy of formation, eV/atom: 1.2111

a = 4.480 Å, b = 4.480 Å, c = 4.480 Å
α = 60.00°, β = 60.00°, γ = 60.00°
Last column: magnetic moment on the atom in μB.
Fractional coordinates of all 3 atoms:
Fe (0.000, 0.000, 0.000)  2.92
Ni (0.500, 0.500, 0.500)  0.33
Ca (0.750, 0.750, 0.750)  -0.05


DFT (PBE) results for a geometry-optimized SmBOs structure.

Energy above the most stable polymorph in this dataset, eV/f.u.: 0.000
SG: No. 187
Magnetization, μB/f.u.: 0.00
Energy of formation, eV/atom: -0.3034

a = 4.408 Å, b = 3.684 Å, c = 3.684 Å
α = 120.00°, β = 90.00°, γ = 90.00°
Fractional coordinates of all 3 atoms:
Os (0.167, 0.000, 0.000)
B (0.167, 0.667, 0.333)
Sm (0.667, 0.333, 0.667)


DFT (PBE) results for a geometry-optimized Y2NiC2 structure.

SG: No. 127
Magnetization, μB/f.u.: 0.00
Energy of formation, eV/atom: -0.1688

a = 6.576 Å, b = 6.576 Å, c = 3.360 Å
α = 90.00°, β = 90.00°, γ = 90.00°
Fractional coordinates of all 10 atoms:
Y (0.802, 0.302, 0.500)
Y (0.302, 0.198, 0.500)
Y (0.198, 0.698, 0.500)
Y (0.698, 0.802, 0.500)
Ni (0.000, 0.000, 0.000)
Ni (0.500, 0.500, 0.000)
C (0.925, 0.575, 0.000)
C (0.075, 0.425, 0.000)
C (0.425, 0.925, 0.000)
C (0.575, 0.075, 0.000)


DFT (PBE) results for a geometry-optimized Sr8ZnPb2 structure.

SG: No. 12
Magnetization, μB/f.u.: 0.00
Energy of formation, eV/atom: -0.2832

a = 5.728 Å, b = 7.942 Å, c = 10.776 Å
α = 105.79°, β = 105.41°, γ = 90.00°
Fractional coordinates of all 11 atoms:
Sr (0.970, 0.210, 0.941)
Sr (0.793, 0.698, 0.586)
Sr (0.030, 0.790, 0.059)
Sr (0.342, 0.044, 0.684)
Sr (0.406, 0.564, 0.811)
Sr (0.207, 0.302, 0.414)
Sr (0.658, 0.956, 0.316)
Sr (0.594, 0.436, 0.189)
Pb (0.189, 0.715, 0.378)
Pb (0.811, 0.285, 0.622)
Zn (0.500, 0.000, 0.000)


DFT (PBE) results for a geometry-optimized AsIrPt2 structure.

SG: No. 139
Magnetization, μB/f.u.: 0.00
Energy of formation, eV/atom: 0.2279

a = 4.994 Å, b = 4.994 Å, c = 4.994 Å
α = 134.02°, β = 134.02°, γ = 67.06°
Fractional coordinates of all 4 atoms:
Pt (0.000, 0.000, 0.000)
Pt (0.500, 0.500, 0.000)
Ir (0.750, 0.250, 0.500)
As (0.250, 0.750, 0.500)


DFT (PBE) results for a geometry-optimized DyPaOs structure.

Energy above the most stable polymorph in this dataset, eV/f.u.: 0.304
SG: No. 160
Magnetization, μB/f.u.: 0.00
Energy of formation, eV/atom: -0.0905

a = 4.184 Å, b = 4.184 Å, c = 5.747 Å
α = 68.65°, β = 68.65°, γ = 60.00°
Fractional coordinates of all 3 atoms:
Os (0.368, 0.368, 0.897)
Pa (0.107, 0.107, 0.680)
Dy (0.599, 0.599, 0.203)


DFT (PBE) results for a geometry-optimized Sr2MnCoS structure.

Raw total energy, eV per cell: -23.6
SG: No. 123
Magnetization, μB/f.u.: 4.01

a = 5.847 Å, b = 4.056 Å, c = 5.847 Å
α = 90.00°, β = 90.00°, γ = 90.00°
Last column: magnetic moment on the atom in μB.
Fractional coordinates of all 5 atoms:
Mn (0.500, 0.500, 0.500)  4.00
Sr (0.000, 0.000, 0.500)  -0.07
Sr (0.500, 0.000, 0.000)  -0.05
S (0.000, 0.500, 0.000)  0.01
Co (0.000, 0.000, 0.000)  0.22


DFT (PBE) results for a geometry-optimized DyErI6 structure.

Raw total energy, eV per cell: -29.0
SG: No. 148
Magnetization, μB/f.u.: 0.00

a = 7.596 Å, b = 7.597 Å, c = 8.131 Å
α = 62.13°, β = 62.14°, γ = 60.00°
Fractional coordinates of all 8 atoms:
I (0.410, 0.749, 0.749)
I (0.251, 0.908, 0.251)
I (0.092, 0.410, 0.749)
I (0.749, 0.092, 0.749)
I (0.590, 0.251, 0.251)
I (0.908, 0.590, 0.251)
Er (0.500, 0.500, 0.500)
Dy (0.000, 0.000, 0.000)